Density functional theory data (PBE-GGA) for a geometry-optimized SrEu3Se structure.

Unit cell a=5.9611 b=5.9611 c=5.9611 alpha=90.00 beta=90.00 gamma=90.00
Site moments in Bohr magnetons follow the coordinates.
Sites, in units of the cell vectors:
Eu  0.5000  0.0000  0.0000  6.99
Sr  0.5000  0.5000  0.5000  0.09
Se  0.0000  0.0000  0.0000  -0.05
Eu  0.0000  0.5000  0.0000  6.99
Eu  0.0000  0.0000  0.5000  6.99

ρ (g/cm3): 4.880
E_tot (eV/atom): -7.8505
Crystal system: cubic
M_tot (μB per formula unit): 23.1